No. 1
Material: LaTbTe2
Method: DFT, PBE-GGA
State: relaxed

Structure (POSCAR):
```
LaTbTe2
1.0
0.0000 3.8639 3.8639
3.8639 0.0000 3.8639
3.8639 3.8639 0.0000
La Tb Te
1 1 2
Cartesian
0.0000 0.0000 0.0000
3.8639 3.8639 3.8639
1.9320 1.9320 1.9320
5.7959 5.7959 5.7959
```

Output
E above lowest polymorph = 142.2 meV/atom


No. 2
Material: LaTb2Te3
Method: DFT, PBE-GGA
State: relaxed

Structure (POSCAR):
```
LaTb2Te3
1.0
-2.2182 3.1434 6.6751
2.2182 -3.1434 6.6751
2.2182 3.1434 -6.6751
La Tb Te
1 2 3
Cartesian
0.0000 0.0000 0.0000
0.0000 0.0000 4.5421
0.0000 0.0000 8.8081
2.2182 0.0000 2.3585
0.0000 3.1434 0.0000
0.0000 3.1434 4.3166
```


Here are the calculated magnetization numbers, same order: 0.7; 0.0 (μB per cell).
Here are the calculated energy relative to the elements, uncorrected numbers, same order: -1.32; -1.40 (eV/atom).
Here are the calculated total energy numbers, same order: -5.277; -5.335 (eV/atom).